Entry 1:
Material: Sr2GaSn
Method: DFT, PBE-GGA
State: relaxed Values from VASP.

Quantum ESPRESSO input file:
```
&SYSTEM
  ibrav = 0, nat = 4, ntyp = 3
/
ATOMIC_SPECIES
Sr 87.62 Sr.upf
Ga 69.72 Ga.upf
Sn 118.71 Sn.upf
CELL_PARAMETERS angstrom
0.000 3.987 3.987
3.987 0.000 3.987
3.987 3.987 0.000
ATOMIC_POSITIONS crystal
Sr 0.250 0.250 0.250
Sr 0.750 0.750 0.750
Ga 0.000 0.000 0.000
Sn 0.500 0.500 0.500
```

Calculated values
The total magnetization comes out at 0.00 Bohr magnetons per cell. The calculation puts the electronic total energy at -12.3 eV per cell. The value obtained for the distance to the lowest polymorph of the same formula is 93 meV/atom. The calculation puts the density of states at the Fermi level at 3.21 states/eV per cell. As for the crystal system: cubic. As for the formation energy: -0.478 eV/atom.

***

Entry 2:
Material: Sr2Ga2Sn3
Method: DFT, PBE-GGA
State: relaxed Values from VASP.

Quantum ESPRESSO input file:
```
&SYSTEM
  ibrav = 0, nat = 7, ntyp = 3
/
ATOMIC_SPECIES
Sr 87.62 Sr.upf
Ga 69.72 Ga.upf
Sn 118.71 Sn.upf
CELL_PARAMETERS angstrom
5.899 -2.315 0.000
5.899 2.315 0.000
-2.067 0.000 7.109
ATOMIC_POSITIONS crystal
Sr 0.137 0.137 0.276
Sr 0.863 0.863 0.724
Ga 0.407 0.407 0.066
Ga 0.593 0.593 0.934
Sn 0.165 0.165 0.777
Sn 0.500 0.500 0.500
Sn 0.835 0.835 0.223
```

Calculated values
The total magnetization comes out at 0.00 Bohr magnetons per cell. The calculation puts the electronic total energy at -24.7 eV per cell. The value obtained for the distance to the lowest polymorph of the same formula is 0 meV/atom. The calculation puts the density of states at the Fermi level at 2.11 states/eV per cell. As for the crystal system: monoclinic. As for the formation energy: -0.468 eV/atom.